1.
Na2ErPdO4 after structural relaxation. Source: Alexandria via LeMat-Bulk, functional PBE-GGA.

The structure in CIF format:
```
data_Na2ErPdO4
_chemical_formula_sum 'Na2 Er1 Pd1 O4'
_symmetry_space_group_name_H-M 'P 1 2/m 1'
_symmetry_Int_Tables_number 10
_symmetry_space_group_name_Hall '-P 2y'
_cell_length_a 5.437
_cell_length_b 3.376
_cell_length_c 5.863
_cell_angle_alpha 90.00
_cell_angle_beta 108.40
_cell_angle_gamma 90.00
loop_
_atom_site_label
_atom_site_type_symbol
_atom_site_fract_x
_atom_site_fract_y
_atom_site_fract_z
Na1 Na 0.000 0.000 0.000
Na2 Na 0.500 0.500 0.000
Er1 Er 0.000 0.500 0.500
Pd1 Pd 0.500 0.000 0.500
O1 O 0.248 0.000 0.710
O2 O 0.269 0.500 0.280
```

Summary:
formation energy without anion corrections = -1807 meV per atom

***

2.
Sm5CuS4 after structural relaxation. Source: Alexandria via LeMat-Bulk, functional PBE-GGA.

The structure in CIF format:
```
data_Sm5CuS4
_chemical_formula_sum 'Sm10 Cu2 S8'
_symmetry_space_group_name_H-M 'C 1 2/m 1'
_symmetry_Int_Tables_number 12
_symmetry_space_group_name_Hall '-C 2y'
_cell_length_a 13.503
_cell_length_b 3.996
_cell_length_c 9.928
_cell_angle_alpha 90.00
_cell_angle_beta 119.98
_cell_angle_gamma 90.00
loop_
_atom_site_label
_atom_site_type_symbol
_atom_site_fract_x
_atom_site_fract_y
_atom_site_fract_z
Sm1 Sm 0.000 0.000 0.000
Sm2 Sm 0.102 0.500 0.398
Sm3 Sm 0.200 0.000 0.801
Cu1 Cu 0.000 0.000 0.500
S1 S 0.101 0.500 0.903
S2 S 0.201 0.000 0.298
```

Summary:
formation energy without anion corrections = -1644 meV per atom

***

3.
NaMnPt after structural relaxation. Source: Alexandria via LeMat-Bulk, functional PBE-GGA.

The structure in CIF format:
```
data_NaMnPt
_chemical_formula_sum 'Na2 Mn2 Pt2'
_symmetry_space_group_name_H-M 'P -1'
_symmetry_Int_Tables_number 2
_symmetry_space_group_name_Hall '-P 1'
_cell_length_a 2.785
_cell_length_b 5.058
_cell_length_c 7.651
_cell_angle_alpha 72.38
_cell_angle_beta 89.94
_cell_angle_gamma 74.10
loop_
_atom_site_label
_atom_site_type_symbol
_atom_site_fract_x
_atom_site_fract_y
_atom_site_fract_z
Na1 Na 0.152 0.199 0.102
Mn1 Mn 0.172 0.153 0.514
Pt1 Pt 0.461 0.576 0.295
```

Summary:
polymorph energy (0 for the lowest one) = 51 kJ/mol of formula units

***

4.
La6Co2NiBr3 after structural relaxation. Source: Alexandria via LeMat-Bulk, functional PBE-GGA.

The structure in CIF format:
```
data_La6Co2NiBr3
_chemical_formula_sum 'La12 Co4 Ni2 Br6'
_symmetry_space_group_name_H-M 'C 1 2/m 1'
_symmetry_Int_Tables_number 12
_symmetry_space_group_name_Hall '-C 2y'
_cell_length_a 19.825
_cell_length_b 4.073
_cell_length_c 9.205
_cell_angle_alpha 90.00
_cell_angle_beta 111.98
_cell_angle_gamma 90.00
loop_
_atom_site_label
_atom_site_type_symbol
_atom_site_fract_x
_atom_site_fract_y
_atom_site_fract_z
La1 La 0.015 0.000 0.222
La2 La 0.158 0.500 0.123
La3 La 0.179 0.500 0.549
Co1 Co 0.166 0.000 0.332
Ni1 Ni 0.000 0.500 0.000
Br1 Br 0.000 0.500 0.500
Br2 Br 0.166 0.000 0.834
```

Summary:
formation energy without anion corrections = -853 meV per atom

***

5.
IrAuF after structural relaxation. Source: Alexandria via LeMat-Bulk, functional PBE-GGA.

The structure in CIF format:
```
data_IrAuF
_chemical_formula_sum 'Ir2 Au2 F2'
_symmetry_space_group_name_H-M 'P 1 m 1'
_symmetry_Int_Tables_number 6
_symmetry_space_group_name_Hall 'P -2y'
_cell_length_a 2.789
_cell_length_b 3.267
_cell_length_c 10.193
_cell_angle_alpha 90.00
_cell_angle_beta 93.23
_cell_angle_gamma 90.00
loop_
_atom_site_label
_atom_site_type_symbol
_atom_site_fract_x
_atom_site_fract_y
_atom_site_fract_z
Ir1 Ir 0.000 0.000 0.000
Ir2 Ir 0.473 0.500 0.857
Au1 Au 0.311 0.500 0.477
Au2 Au 0.927 0.000 0.668
F1 F 0.031 0.500 0.132
F2 F 0.582 0.000 0.345
```

Summary:
polymorph energy (0 for the lowest one) = 2 kJ/mol of formula units
formation energy without anion corrections = -256 meV per atom

***

6.
SrInMoPb2 after structural relaxation. Source: Alexandria via LeMat-Bulk, functional PBE-GGA.

The structure in CIF format:
```
data_SrInMoPb2
_chemical_formula_sum 'Sr1 In1 Mo1 Pb2'
_symmetry_space_group_name_H-M 'P 4/m m m'
_symmetry_Int_Tables_number 123
_symmetry_space_group_name_Hall '-P 4 2'
_cell_length_a 6.086
_cell_length_b 6.086
_cell_length_c 5.576
_cell_angle_alpha 90.00
_cell_angle_beta 90.00
_cell_angle_gamma 90.00
loop_
_atom_site_label
_atom_site_type_symbol
_atom_site_fract_x
_atom_site_fract_y
_atom_site_fract_z
Sr1 Sr 0.000 0.000 0.000
In1 In 0.500 0.500 0.500
Mo1 Mo 0.000 0.000 0.500
Pb1 Pb 0.000 0.500 0.000
```

Summary:
total DFT energy (no corrections) = -3.044 eV per atom

***

7.
Tb11Dy4Er9 after structural relaxation. Source: Alexandria via LeMat-Bulk, functional PBE-GGA.

The structure in CIF format:
```
data_Tb11Dy4Er9
_chemical_formula_sum 'Tb22 Dy8 Er18'
_symmetry_space_group_name_H-M 'C m m m'
_symmetry_Int_Tables_number 65
_symmetry_space_group_name_Hall '-C 2 2'
_cell_length_a 16.583
_cell_length_b 25.026
_cell_length_c 3.633
_cell_angle_alpha 90.00
_cell_angle_beta 90.00
_cell_angle_gamma 90.00
loop_
_atom_site_label
_atom_site_type_symbol
_atom_site_fract_x
_atom_site_fract_y
_atom_site_fract_z
Tb1 Tb 0.000 0.000 0.000
Tb2 Tb 0.000 0.160 0.000
Tb3 Tb 0.000 0.367 0.000
Tb4 Tb 0.208 0.500 0.000
Tb5 Tb 0.226 0.181 0.000
Dy1 Dy 0.155 0.399 0.500
Er1 Er 0.000 0.500 0.500
Er2 Er 0.102 0.266 0.500
Er3 Er 0.141 0.073 0.500
```

Summary:
total DFT energy (no corrections) = -4.547 eV per atom

***

8.
BeAs2Se after structural relaxation. Source: Alexandria via LeMat-Bulk, functional PBE-GGA.

The structure in CIF format:
```
data_BeAs2Se
_chemical_formula_sum 'Be2 As4 Se2'
_symmetry_space_group_name_H-M 'I m m 2'
_symmetry_Int_Tables_number 44
_symmetry_space_group_name_Hall 'I 2 -2'
_cell_length_a 3.289
_cell_length_b 4.245
_cell_length_c 11.095
_cell_angle_alpha 90.00
_cell_angle_beta 90.00
_cell_angle_gamma 90.00
loop_
_atom_site_label
_atom_site_type_symbol
_atom_site_fract_x
_atom_site_fract_y
_atom_site_fract_z
Be1 Be 0.000 0.000 0.000
As1 As 0.000 0.000 0.468
As2 As 0.000 0.500 0.323
Se1 Se 0.000 0.500 0.638
```

Summary:
polymorph energy (0 for the lowest one) = 179 kJ/mol of formula units
formation energy without anion corrections = 174 meV per atom

***

9.
LiPmAg after structural relaxation. Source: Alexandria via LeMat-Bulk, functional PBE-GGA.

The structure in CIF format:
```
data_LiPmAg
_chemical_formula_sum 'Li2 Pm2 Ag2'
_symmetry_space_group_name_H-M 'I 4 m m'
_symmetry_Int_Tables_number 107
_symmetry_space_group_name_Hall 'I 4 -2'
_cell_length_a 3.657
_cell_length_b 3.657
_cell_length_c 10.239
_cell_angle_alpha 90.00
_cell_angle_beta 90.00
_cell_angle_gamma 90.00
loop_
_atom_site_label
_atom_site_type_symbol
_atom_site_fract_x
_atom_site_fract_y
_atom_site_fract_z
Li1 Li 0.000 0.000 0.000
Pm1 Pm 0.000 0.000 0.700
Ag1 Ag 0.000 0.000 0.384
```

Summary:
polymorph energy (0 for the lowest one) = 15 kJ/mol of formula units

***

10.
Sr3Cr2N4 after structural relaxation. Source: Alexandria via LeMat-Bulk, functional PBE-GGA.

The structure in CIF format:
```
data_Sr3Cr2N4
_chemical_formula_sum 'Sr12 Cr8 N16'
_symmetry_space_group_name_H-M 'C 1 2/c 1'
_symmetry_Int_Tables_number 15
_symmetry_space_group_name_Hall '-C 2yc'
_cell_length_a 11.288
_cell_length_b 8.706
_cell_length_c 5.611
_cell_angle_alpha 90.00
_cell_angle_beta 94.47
_cell_angle_gamma 90.00
loop_
_atom_site_label
_atom_site_type_symbol
_atom_site_fract_x
_atom_site_fract_y
_atom_site_fract_z
Sr1 Sr 0.000 0.102 0.250
Sr2 Sr 0.123 0.370 0.552
Cr1 Cr 0.207 0.126 0.922
N1 N 0.130 0.316 0.023
N2 N 0.180 0.045 0.614
```

Summary:
polymorph energy (0 for the lowest one) = 110 kJ/mol of formula units
formation energy without anion corrections = -599 meV per atom

***

11.
Bi2AsOsPt after structural relaxation. Source: Alexandria via LeMat-Bulk, functional PBE-GGA.

The structure in CIF format:
```
data_Bi2AsOsPt
_chemical_formula_sum 'Bi2 As1 Os1 Pt1'
_symmetry_space_group_name_H-M 'P 4/m m m'
_symmetry_Int_Tables_number 123
_symmetry_space_group_name_Hall '-P 4 2'
_cell_length_a 5.290
_cell_length_b 5.290
_cell_length_c 4.853
_cell_angle_alpha 90.00
_cell_angle_beta 90.00
_cell_angle_gamma 90.00
loop_
_atom_site_label
_atom_site_type_symbol
_atom_site_fract_x
_atom_site_fract_y
_atom_site_fract_z
Bi1 Bi 0.000 0.500 0.000
As1 As 0.000 0.000 0.500
Os1 Os 0.500 0.500 0.000
Pt1 Pt 0.500 0.500 0.500
```

Summary:
total DFT energy (no corrections) = -4.962 eV per atom

***

12.
YPt2 after structural relaxation. Source: Alexandria via LeMat-Bulk, functional PBE-GGA.

The structure in CIF format:
```
data_YPt2
_chemical_formula_sum 'Y4 Pt8'
_symmetry_space_group_name_H-M 'P a -3'
_symmetry_Int_Tables_number 205
_symmetry_space_group_name_Hall '-P 2ac 2ab 3'
_cell_length_a 6.643
_cell_length_b 6.643
_cell_length_c 6.643
_cell_angle_alpha 90.00
_cell_angle_beta 90.00
_cell_angle_gamma 90.00
loop_
_atom_site_label
_atom_site_type_symbol
_atom_site_fract_x
_atom_site_fract_y
_atom_site_fract_z
Y1 Y 0.000 0.000 0.000
Pt1 Pt 0.110 0.610 0.890
```

Summary:
total DFT energy (no corrections) = -6.473 eV per atom